*a*
# PmCu2Ag PBE relaxed
data_PmCu2Ag
_symmetry_space_group_name_H-M 'R -3 m'
_symmetry_Int_Tables_number 166
_symmetry_space_group_name_Hall '-R 3 2"'
_cell_length_a 4.4717
_cell_length_b 4.4717
_cell_length_c 13.4720
_cell_angle_alpha 90.00
_cell_angle_beta 90.00
_cell_angle_gamma 120.00
loop_
_atom_site_label
_atom_site_type_symbol
_atom_site_fract_x
_atom_site_fract_y
_atom_site_fract_z
_atom_site_occupancy
Pm1 Pm 0.0000 0.0000 0.0000 1
Cu1 Cu 0.0000 0.0000 0.2132 1
Ag1 Ag 0.0000 0.0000 0.5000 1
# M_tot   0.00 μB/atom
# D(E_F)   5.564 states/eV/cell

*b*
# PmCu2Ag PBE relaxed
data_PmCu2Ag
_symmetry_space_group_name_H-M 'P n m a'
_symmetry_Int_Tables_number 62
_symmetry_space_group_name_Hall '-P 2ac 2n'
_cell_length_a 9.2220
_cell_length_b 6.4158
_cell_length_c 5.2204
_cell_angle_alpha 90.00
_cell_angle_beta 90.00
_cell_angle_gamma 90.00
loop_
_atom_site_label
_atom_site_type_symbol
_atom_site_fract_x
_atom_site_fract_y
_atom_site_fract_z
_atom_site_occupancy
Pm1 Pm 0.0820 0.2500 0.1807 1
Cu1 Cu 0.1726 0.0504 0.6740 1
Ag1 Ag 0.0934 0.7500 0.3284 1
# M_tot   0.00 μB/atom
# D(E_F)   7.921 states/eV/cell

Which structure above is the least stable one? *b* is the least stable one.